1 | # GGA-PBE AcSn4Rh, optimized geometry
data_AcSn4Rh
_chemical_formula_sum 'Ac2 Sn8 Rh2'
_cell_length_a 6.849
_cell_length_b 7.279
_cell_length_c 7.602
_cell_angle_alpha 82.88
_cell_angle_beta 89.94
_cell_angle_gamma 62.02
_symmetry_space_group_name_H-M 'P -1'
_symmetry_Int_Tables_number 2
loop_
_symmetry_equiv_pos_as_xyz
'x,y,z'
'-x,-y,-z'
loop_
_atom_site_label
_atom_site_type_symbol
_atom_site_fract_x
_atom_site_fract_y
_atom_site_fract_z
_atom_site_occupancy
Ac1 Ac 0.110 0.496 0.252 1
Sn1 Sn 0.126 0.016 0.153 1
Sn2 Sn 0.316 0.626 0.588 1
Sn3 Sn 0.356 0.020 0.652 1
Sn4 Sn 0.437 0.376 0.913 1
Rh1 Rh 0.000 0.000 0.500 1
Rh2 Rh 0.500 0.000 0.000 1
# theoretical density = 8.064 g cm⁻³
# crystal system = triclinic
# calculated volume = 331 Å³/cell

***

2 | # GGA-PBE AcSn4Rh, optimized geometry
data_AcSn4Rh
_chemical_formula_sum 'Ac4 Sn16 Rh4'
_cell_length_a 4.600
_cell_length_b 18.596
_cell_length_c 7.259
_cell_angle_alpha 90.00
_cell_angle_beta 90.00
_cell_angle_gamma 90.00
_symmetry_space_group_name_H-M 'C m c m'
_symmetry_Int_Tables_number 63
_symmetry_space_group_name_Hall '-C 2c 2'
loop_
_atom_site_label
_atom_site_type_symbol
_atom_site_fract_x
_atom_site_fract_y
_atom_site_fract_z
_atom_site_occupancy
Ac1 Ac 0.000 0.116 0.250 1
Sn1 Sn 0.000 0.069 0.750 1
Sn2 Sn 0.000 0.308 0.038 1
Sn3 Sn 0.000 0.500 0.000 1
Rh1 Rh 0.000 0.210 0.750 1
# theoretical density = 8.607 g cm⁻³
# crystal system = orthorhombic
# calculated volume = 621 Å³/cell

***

Which structure is the least stable? The one labeled 1.

***

1 | # GGA-PBE AcSn2Rh3, optimized geometry
data_AcSn2Rh3
_chemical_formula_sum 'Ac4 Sn8 Rh12'
_cell_length_a 10.486
_cell_length_b 8.041
_cell_length_c 6.069
_cell_angle_alpha 90.00
_cell_angle_beta 90.00
_cell_angle_gamma 90.00
_symmetry_space_group_name_H-M 'C m c m'
_symmetry_Int_Tables_number 63
_symmetry_space_group_name_Hall '-C 2c 2'
loop_
_atom_site_label
_atom_site_type_symbol
_atom_site_fract_x
_atom_site_fract_y
_atom_site_fract_z
_atom_site_occupancy
Ac1 Ac 0.000 0.172 0.250 1
Sn1 Sn 0.214 0.500 0.000 1
Rh1 Rh 0.000 0.474 0.750 1
Rh2 Rh 0.147 0.200 0.750 1
# theoretical density = 10.036 g cm⁻³
# crystal system = orthorhombic
# calculated volume = 512 Å³/cell

***

2 | # GGA-PBE AcSn2Rh3, optimized geometry
data_AcSn2Rh3
_chemical_formula_sum 'Ac1 Sn2 Rh3'
_cell_length_a 5.9520
_cell_length_b 5.9520
_cell_length_c 4.1073
_cell_angle_alpha 90.00
_cell_angle_beta 90.00
_cell_angle_gamma 120.00
_symmetry_space_group_name_H-M 'P 6/m m m'
_symmetry_Int_Tables_number 191
_symmetry_space_group_name_Hall '-P 6 2'
loop_
_atom_site_label
_atom_site_type_symbol
_atom_site_fract_x
_atom_site_fract_y
_atom_site_fract_z
_atom_site_occupancy
Ac1 Ac 0.0000 0.0000 0.0000 1
Sn1 Sn 0.3333 0.6667 0.0000 1
Rh1 Rh 0.0000 0.5000 0.5000 1
# theoretical density = 10.188 g cm⁻³
# crystal system = hexagonal
# calculated volume = 126 Å³/cell

***

Which structure is the least stable? The one labeled 1.

***

1 | # GGA-PBE Ac3SnRh, optimized geometry
data_Ac3SnRh
_chemical_formula_sum 'Ac3 Sn1 Rh1'
_cell_length_a 5.713
_cell_length_b 5.713
_cell_length_c 5.713
_cell_angle_alpha 90.00
_cell_angle_beta 90.00
_cell_angle_gamma 90.00
_symmetry_space_group_name_H-M 'P m -3 m'
_symmetry_Int_Tables_number 221
_symmetry_space_group_name_Hall '-P 4 2 3'
loop_
_atom_site_label
_atom_site_type_symbol
_atom_site_fract_x
_atom_site_fract_y
_atom_site_fract_z
_atom_site_occupancy
Ac1 Ac 0.000 0.000 0.500 1
Sn1 Sn 0.500 0.500 0.500 1
Rh1 Rh 0.000 0.000 0.000 1
# theoretical density = 8.039 g cm⁻³
# crystal system = cubic
# calculated volume = 186 Å³/cell

***

2 | # GGA-PBE Ac3SnRh, optimized geometry
data_Ac3SnRh
_chemical_formula_sum 'Ac12 Sn4 Rh4'
_cell_length_a 9.073
_cell_length_b 4.779
_cell_length_c 16.005
_cell_angle_alpha 90.00
_cell_angle_beta 90.00
_cell_angle_gamma 90.00
_symmetry_space_group_name_H-M 'P n m a'
_symmetry_Int_Tables_number 62
loop_
_symmetry_equiv_pos_as_xyz
'x,y,z'
'-x,-y,-z'
'-x+1/2,-y,z+1/2'
'x+1/2,y,-z+1/2'
'x+1/2,-y+1/2,-z+1/2'
'-x+1/2,y+1/2,z+1/2'
'-x,y+1/2,-z'
'x,-y+1/2,z'
loop_
_atom_site_label
_atom_site_type_symbol
_atom_site_fract_x
_atom_site_fract_y
_atom_site_fract_z
_atom_site_occupancy
Ac1 Ac 0.028 0.250 0.110 1
Ac2 Ac 0.156 0.250 0.507 1
Ac3 Ac 0.193 0.750 0.287 1
Sn1 Sn 0.084 0.750 0.673 1
Rh1 Rh 0.161 0.250 0.941 1
# theoretical density = 8.639 g cm⁻³
# crystal system = orthorhombic
# calculated volume = 694 Å³/cell

***

Which structure is the least stable? The one labeled 1.